Computed, not measured: a relaxed DyLuBePd crystal at the GGA-PBE level of DFT.

a = 6.878 Å, b = 6.878 Å, c = 6.878 Å
α = 90.00°, β = 90.00°, γ = 90.00°
Space group F-43m (No. 216)
Inequivalent atoms, fractional coordinates:
Dy  0.000  0.000  0.000
Lu  0.000  0.000  0.500
Be  0.250  0.250  0.750
Pd  0.250  0.250  0.250

Values from the calculation:
Its formation energy from the elements is -388 meV per atom. For the total magnetic moment, the calculation gives 0.0 Bohr magnetons per cell.